Density functional theory data (PBE-GGA) for an optimized crystal structure of Pu3In2Hg6.

Unit cell a=4.176 b=4.176 c=18.167 alpha=96.60 beta=96.60 gamma=90.00
Each line ends with the local moment (μB).
Fractional coordinates of all 11 atoms:
Pu 0.000 0.000 0.000  -5.61
Pu 0.775 0.775 0.550  5.78
Pu 0.225 0.225 0.450  5.78
In 0.864 0.864 0.727  -0.01
In 0.136 0.136 0.273  -0.01
Hg 0.431 0.931 0.863  -0.01
Hg 0.931 0.431 0.863  -0.01
Hg 0.569 0.069 0.137  -0.01
Hg 0.069 0.569 0.137  -0.01
Hg 0.319 0.319 0.637  0.02
Hg 0.681 0.681 0.363  0.02

## Properties
ΔH_f (0 K): 0.07 eV per atom
M_tot: 6.65 μB/f.u.